{"formula": "NiAgTe2", "functional": "GGA-PBE", "state": "optimized geometry", "lattice_angstrom": [[4.5337, 0.0000, 0.0000], [0.0000, 4.7777, 0.0400], [0.0000, 1.8478, 4.4064]], "species": ["Ag", "Ni", "Te", "Te"], "frac_coords": [[0.0000, 0.5388, 0.5386], [0.5000, 0.7387, 0.7393], [0.0000, 0.8887, 0.8885], [0.5000, 0.3338, 0.3335]], "sg": "Amm2", "raw_formation_energy_mev_per_atom": 30, "m_tot_mub_per_fu": 0.000, "n_ef_per_ev_cell": 2.4}